Material: YBeIr
Method: DFT, PBEsol
State: optimized geometry

Unit cell a=5.4535 b=5.4535 c=5.4535 alpha=147.13 beta=147.13 gamma=47.16
Fractional coordinates of all 3 atoms:
Y 0.0000 0.0000 0.0000
Be 0.7088 0.7088 0.0000
Ir 0.2961 0.2961 0.0000

Computed properties:
calculated formation energy: -1.33 eV/f.u.
relative energy among the computed polymorphs: 0.51 eV/f.u.
ρ: 10.1 g cm⁻³
DOS(E_F): 1.27 states/eV/cell
energy: -0.538 Ry/atom